# SnBi3Ir

SnBi3Ir after structural relaxation (PBE, Alexandria).

abc: 5.406 5.406 5.406
angles: 90.00 90.00 90.00
Fractional coordinates of all 5 atoms:
Bi  0.500  0.000  0.000
Bi  0.000  0.500  0.000
Bi  0.000  0.000  0.500
Sn  0.500  0.500  0.500
Ir  0.000  0.000  0.000

space-group type: Pm-3m (221)
calculated density: 9.859 g/cm3
total magnetization: 0.0 μB/f.u.
calculated volume: 158 Å³ per cell
energy of formation from the pure elements: 0.480 eV per atom
excess energy over the best structure of this formula in the dataset: 454 meV per atom

# SnBi2Ir

SnBi2Ir after structural relaxation (PBE, Alexandria).

abc: 3.745 3.745 10.143
angles: 79.36 79.36 60.00
Fractional coordinates of all 4 atoms:
Bi  0.110  0.110  0.671
Bi  0.890  0.890  0.329
Sn  0.000  0.000  0.000
Ir  0.500  0.500  0.500

space-group type: R-3m (166)
calculated density: 10.056 g/cm3
total magnetization: 0.0 μB/f.u.
calculated volume: 120 Å³ per cell
energy of formation from the pure elements: 0.211 eV per atom

What did the second record say?
# SnBi2Ir

SnBi2Ir after structural relaxation (PBE, Alexandria).

abc: 3.745 3.745 10.143
angles: 79.36 79.36 60.00
Fractional coordinates of all 4 atoms:
Bi  0.110  0.110  0.671
Bi  0.890  0.890  0.329
Sn  0.000  0.000  0.000
Ir  0.500  0.500  0.500

space-group type: R-3m (166)
calculated density: 10.056 g/cm3
total magnetization: 0.0 μB/f.u.
calculated volume: 120 Å³ per cell
energy of formation from the pure elements: 0.211 eV per atom

What is the calculated volume in the second record? 120 Å³ per cell

Repeat the second record exactly.
# SnBi2Ir

SnBi2Ir after structural relaxation (PBE, Alexandria).

abc: 3.745 3.745 10.143
angles: 79.36 79.36 60.00
Fractional coordinates of all 4 atoms:
Bi  0.110  0.110  0.671
Bi  0.890  0.890  0.329
Sn  0.000  0.000  0.000
Ir  0.500  0.500  0.500

space-group type: R-3m (166)
calculated density: 10.056 g/cm3
total magnetization: 0.0 μB/f.u.
calculated volume: 120 Å³ per cell
energy of formation from the pure elements: 0.211 eV per atom